--- a ---
4
Lattice="0.0000 3.6942 3.6942 3.6942 0.0000 3.6942 3.6942 3.6942 0.0000" Properties=species:S:1:pos:R:3 comment="BaTcAg2 PBE optimized geometry" n_ef_per_ev_cell=3.9 pbc="T T T"
Ba 0.0000 0.0000 0.0000
Tc 3.6942 3.6942 3.6942
Ag 1.8471 1.8471 1.8471
Ag 5.5412 5.5412 5.5412



--- b ---
4
Lattice="-1.7399 2.6529 5.1643 1.7399 -2.6529 5.1643 1.7399 2.6529 -5.1643" Properties=species:S:1:pos:R:3 comment="BaTcAg2 PBE optimized geometry" n_ef_per_ev_cell=3.6 pbc="T T T"
Ba 0.0000 0.0000 0.0000
Tc 1.7399 0.0000 2.8171
Ag 0.0000 0.0000 5.0833
Ag 0.0000 2.6529 2.2643



--- c ---
8
Lattice="-2.6180 2.6180 9.3655 2.6180 -2.6180 9.3655 2.6180 2.6180 -9.3655" Properties=species:S:1:pos:R:3 comment="BaTcAg2 PBE optimized geometry" n_ef_per_ev_cell=6.2 pbc="T T T"
Ba 0.0000 0.0000 0.0000
Ba 0.0000 2.6180 4.6828
Tc 2.6180 0.0000 4.6828
Tc 0.0000 0.0000 9.3655
Ag 1.3090 -0.1760 7.0241
Ag 2.4420 1.3090 2.3414
Ag 1.3090 2.7939 -2.3414
Ag 0.1760 1.3090 11.7069



Most stable = b



--- a ---
4
Lattice="-2.2632 2.2632 4.6645 2.2632 -2.2632 4.6645 2.2632 2.2632 -4.6645" Properties=species:S:1:pos:R:3 comment="BaTcAg2 PBE optimized geometry" n_ef_per_ev_cell=2.9 pbc="T T T"
Ba 0.0000 0.0000 0.0000
Tc 2.2632 0.0000 2.3323
Ag 0.0000 0.0000 4.6645
Ag 0.0000 2.2632 2.3323



--- b ---
4
Lattice="3.5161 0.0000 0.0000 0.0000 3.5161 0.0000 0.0000 0.0000 7.6964" Properties=species:S:1:pos:R:3 comment="BaTcAg2 PBE optimized geometry" n_ef_per_ev_cell=2.9 pbc="T T T"
Ba 0.0000 0.0000 0.0000
Tc 1.7581 1.7581 2.3049
Ag 0.0000 0.0000 3.7066
Ag 1.7581 1.7581 5.1762



Most stable = b



--- a ---
4
Lattice="2.9853 0.0000 0.0000 0.0000 4.6629 0.0000 -1.4800 0.0000 6.6455" Properties=species:S:1:pos:R:3 comment="BaTcAg2 PBE optimized geometry" n_ef_per_ev_cell=3.9 pbc="T T T"
Ba 0.0000 0.0000 0.0000
Tc 1.4963 2.3315 2.2631
Ag 0.0011 0.0000 3.1063
Ag 0.0079 2.3315 4.6886



--- b ---
4
Lattice="4.0830 -2.3585 0.0000 4.0830 2.3585 0.0000 -2.7356 0.0000 5.7132" Properties=species:S:1:pos:R:3 comment="BaTcAg2 PBE optimized geometry" n_ef_per_ev_cell=3.0 pbc="T T T"
Ba 0.0000 0.0000 0.0000
Tc 5.4387 0.0000 2.5091
Ag -0.0053 0.0000 3.2800
Ag 2.7168 0.0000 2.6491



--- c ---
4
Lattice="4.5898 0.0000 0.0000 0.0000 4.5898 0.0000 0.0000 0.0000 4.4309" Properties=species:S:1:pos:R:3 comment="BaTcAg2 PBE optimized geometry" n_ef_per_ev_cell=4.4 pbc="T T T"
Ba 0.0000 0.0000 0.0000
Tc 2.2949 2.2949 0.0000
Ag 0.0000 2.2949 2.2155
Ag 2.2949 0.0000 2.2155



--- d ---
4
Lattice="-2.3020 2.3020 4.5230 2.3020 -2.3020 4.5230 2.3020 2.3020 -4.5230" Properties=species:S:1:pos:R:3 comment="BaTcAg2 PBE optimized geometry" n_ef_per_ev_cell=4.1 pbc="T T T"
Ba 0.0000 0.0000 0.0000
Tc 0.0000 0.0000 4.5230
Ag 2.3020 0.0000 2.2615
Ag 0.0000 2.3020 2.2615



Most stable = b



--- a ---
4
Lattice="-1.6788 2.6240 5.3612 1.6788 -2.6240 5.3612 1.6788 2.6240 -5.3612" Properties=species:S:1:pos:R:3 comment="BaTcAg2 PBE optimized geometry" n_ef_per_ev_cell=3.2 pbc="T T T"
Ba 0.0000 0.0000 0.0000
Tc 0.0000 0.0000 5.3612
Ag 1.6788 0.0000 3.0379
Ag 0.0000 2.6240 2.3232



--- b ---
4
Lattice="1.5494 0.8946 10.3401 -1.5494 0.8946 10.3401 0.0000 -1.7891 10.3401" Properties=species:S:1:pos:R:3 comment="BaTcAg2 PBE optimized geometry" n_ef_per_ev_cell=3.9 pbc="T T T"
Ba 0.0000 0.0000 0.0000
Tc 0.0000 0.0000 23.5170
Ag 0.0000 0.0000 7.3078
Ag 0.0000 0.0000 15.3733



Most stable = a